A plane-wave DFT calculation with PBE was carried out for an optimized crystal structure of SrZrCo2Rh.

Lattice parameters (Å, degrees): 4.709 4.709 5.088 90.00 90.00 90.00
Space group P4/mmm (No. 123)
Unique sites:
Sr: 0.000 0.000 0.000 x1
Zr: 0.500 0.500 0.000 x1
Co: 0.000 0.500 0.500 x2
Rh: 0.000 0.000 0.500 x1

Calculated values
- spin magnetization (μB per cell) = 4.69
- D(E_F) (states/eV per cell) = 6.71
- calculated formation energy (eV per formula unit) = 5.4
- VASP energy (eV per atom) = -5.271